Material: HgTePdPb2
Method: DFT, PBE-GGA
State: optimized geometry

abc: 5.4215 5.4215 5.2063
angles: 90.00 90.00 90.00
Element x y z (fractional)
Hg 0.0000 0.0000 0.0000
Te 0.5000 0.5000 0.0000
Pd 0.0000 0.0000 0.5000
Pb 0.0000 0.5000 0.5000
Pb 0.5000 0.0000 0.5000

Calculated values
DFT total energy	-16.44	eV per cell
crystal system	tetragonal
total moment	0.00	μB per cell


Material: TlHgPdPb2
Method: DFT, PBE-GGA
State: optimized geometry

abc: 5.4111 5.4111 5.3411
angles: 90.00 90.00 90.00
Element x y z (fractional)
Tl 0.0000 0.0000 0.0000
Hg 0.5000 0.5000 0.0000
Pd 0.0000 0.0000 0.5000
Pb 0.0000 0.5000 0.5000
Pb 0.5000 0.0000 0.5000

Calculated values
DFT total energy	-15.04	eV per cell
energy relative to the elements	47	meV/atom
crystal system	tetragonal
total moment	0.00	μB per cell


Material: Tl2Hg2PdPb2
Method: DFT, PBE-GGA
State: optimized geometry

abc: 3.8503 7.3076 7.7039
angles: 67.44 75.65 89.84
Element x y z (fractional)
Tl 0.2125 0.1453 0.0828
Tl 0.7875 0.8547 0.9172
Hg 0.1478 0.5130 0.1999
Hg 0.8522 0.4870 0.8001
Pd 0.0000 0.0000 0.5000
Pb 0.4614 0.2495 0.5717
Pb 0.5386 0.7505 0.4283

Calculated values
DFT total energy	-18.12	eV per cell
energy relative to the elements	-25	meV/atom
crystal system	triclinic
total moment	0.00	μB per cell


Material: Tl2HgPdPb
Method: DFT, PBE-GGA
State: optimized geometry

abc: 5.3229 5.3229 5.4993
angles: 90.00 90.00 90.00
Element x y z (fractional)
Tl 0.0000 0.5000 0.0000
Tl 0.5000 0.0000 0.0000
Hg 0.0000 0.0000 0.5000
Pd 0.5000 0.5000 0.0000
Pb 0.5000 0.5000 0.5000

Calculated values
DFT total energy	-13.79	eV per cell
energy relative to the elements	30	meV/atom
crystal system	tetragonal
total moment	0.00	μB per cell


Material: TlHgPdPb
Method: DFT, PBE-GGA
State: optimized geometry

abc: 3.4304 3.4304 8.4069
angles: 90.00 90.00 90.00
Element x y z (fractional)
Tl 0.0000 0.0000 0.0000
Hg 0.5000 0.5000 0.2738
Pd 0.0000 0.0000 0.4704
Pb 0.5000 0.5000 0.6697

Calculated values
DFT total energy	-11.92	eV per cell
energy relative to the elements	-88	meV/atom
crystal system	tetragonal
total moment	0.00	μB per cell


Material: TlHgPdPb2
Method: DFT, PBE-GGA
State: optimized geometry

abc: 5.3753 5.3753 5.3255
angles: 90.00 90.00 90.00
Element x y z (fractional)
Tl 0.0000 0.0000 0.0000
Hg 0.5000 0.5000 0.0000
Pd 0.5000 0.5000 0.5000
Pb 0.0000 0.5000 0.5000
Pb 0.5000 0.0000 0.5000

Calculated values
DFT total energy	-15.06	eV per cell
energy relative to the elements	44	meV/atom
crystal system	tetragonal
total moment	0.00	μB per cell


Material: TlHgPdPb
Method: DFT, PBE-GGA
State: optimized geometry

abc: 5.1583 5.1583 5.1583
angles: 60.00 60.00 60.00
Element x y z (fractional)
Tl 0.0000 0.0000 0.0000
Hg 0.7500 0.7500 0.7500
Pd 0.2500 0.2500 0.2500
Pb 0.5000 0.5000 0.5000

Calculated values
DFT total energy	-11.45	eV per cell
energy relative to the elements	29	meV/atom
crystal system	cubic
total moment	0.00	μB per cell


Material: Tl2HgPdPb
Method: DFT, PBE-GGA
State: optimized geometry

abc: 5.3052 5.3052 5.3165
angles: 90.00 90.00 90.00
Element x y z (fractional)
Tl 0.0000 0.5000 0.0000
Tl 0.5000 0.0000 0.0000
Hg 0.0000 0.0000 0.5000
Pd 0.0000 0.0000 0.0000
Pb 0.5000 0.5000 0.5000

Calculated values
DFT total energy	-13.41	eV per cell
energy relative to the elements	104	meV/atom
crystal system	tetragonal
total moment	0.00	μB per cell


Material: YHgPdPb
Method: DFT, PBE-GGA
State: optimized geometry

abc: 5.0742 5.0742 5.0742
angles: 60.00 60.00 60.00
Element x y z (fractional)
Y 0.0000 0.0000 0.0000
Hg 0.2500 0.2500 0.2500
Pd 0.7500 0.7500 0.7500
Pb 0.5000 0.5000 0.5000

Calculated values
DFT total energy	-17.48	eV per cell
energy relative to the elements	-453	meV/atom
crystal system	cubic
total moment	0.00	μB per cell


Material: Pm2Hg4Pb
Method: DFT, PBE-GGA
State: optimized geometry

abc: 10.5704 10.5704 10.5704
angles: 156.21 156.21 33.89
Element x y z (fractional)
Pm 0.0986 0.0986 0.0000
Pm 0.9014 0.9014 0.0000
Hg 0.2500 0.7500 0.5000
Hg 0.3515 0.3515 0.0000
Hg 0.6485 0.6485 0.0000
Hg 0.7500 0.2500 0.5000
Pb 0.5000 0.5000 0.0000

Calculated values
DFT total energy	-16.15	eV per cell
energy relative to the elements	-248	meV/atom
crystal system	tetragonal
total moment	0.00	μB per cell


Material: PmHgPb6
Method: DFT, PBE-GGA
State: optimized geometry

abc: 6.9350 6.9350 4.9641
angles: 90.00 90.00 90.25
Element x y z (fractional)
Pm 0.0000 0.0000 0.0000
Hg 0.5000 0.5000 0.0000
Pb 0.0000 0.5000 0.0000
Pb 0.2554 0.7446 0.5000
Pb 0.2566 0.2566 0.5000
Pb 0.5000 0.0000 0.0000
Pb 0.7434 0.7434 0.5000
Pb 0.7446 0.2554 0.5000

Calculated values
DFT total energy	-28.37	eV per cell
energy relative to the elements	-133	meV/atom
crystal system	orthorhombic
total moment	0.00	μB per cell


Material: PmHg5Pb2
Method: DFT, PBE-GGA
State: optimized geometry

abc: 9.8180 9.8180 9.8180
angles: 151.56 151.56 40.65
Element x y z (fractional)
Pm 0.0000 0.0000 0.0000
Hg 0.1196 0.6196 0.5000
Hg 0.3804 0.8804 0.5000
Hg 0.5000 0.5000 0.0000
Hg 0.6196 0.1196 0.5000
Hg 0.8804 0.3804 0.5000
Pb 0.2424 0.2424 0.0000
Pb 0.7576 0.7576 0.0000

Calculated values
DFT total energy	-15.29	eV per cell
energy relative to the elements	-202	meV/atom
crystal system	tetragonal
total moment	0.00	μB per cell


Material: Pm2HgPb
Method: DFT, PBE-GGA
State: optimized geometry

abc: 5.3383 5.3383 4.0426
angles: 90.00 90.00 90.00
Element x y z (fractional)
Pm 0.0000 0.5000 0.0000
Pm 0.5000 0.0000 0.0000
Hg 0.0000 0.0000 0.5000
Pb 0.5000 0.5000 0.5000

Calculated values
DFT total energy	-15.52	eV per cell
energy relative to the elements	-503	meV/atom
crystal system	tetragonal
total moment	0.00	μB per cell


Material: Pm4Hg4Pb5
Method: DFT, PBE-GGA
State: optimized geometry

abc: 9.0617 9.0617 9.0617
angles: 94.02 94.02 149.31
Element x y z (fractional)
Pm 0.1251 0.7714 0.8965
Pm 0.2286 0.1251 0.3537
Pm 0.7714 0.8749 0.6463
Pm 0.8749 0.2286 0.1035
Hg 0.0875 0.3985 0.4860
Hg 0.3985 0.9125 0.3111
Hg 0.6015 0.0875 0.6889
Hg 0.9125 0.6015 0.5140
Pb 0.0000 0.0000 0.0000
Pb 0.2991 0.5582 0.8573
Pb 0.4418 0.2991 0.7409
Pb 0.5582 0.7009 0.2591
Pb 0.7009 0.4418 0.1427

Calculated values
DFT total energy	-43.69	eV per cell
energy relative to the elements	-380	meV/atom
crystal system	tetragonal
total moment	0.00	μB per cell


Material: Pm4HgPb
Method: DFT, PBE-GGA
State: optimized geometry

abc: 5.2744 5.2744 7.4741
angles: 90.00 90.00 90.00
Element x y z (fractional)
Pm 0.0000 0.5000 0.2376
Pm 0.0000 0.5000 0.7624
Pm 0.5000 0.0000 0.2376
Pm 0.5000 0.0000 0.7624
Hg 0.0000 0.0000 0.0000
Pb 0.5000 0.5000 0.5000

Calculated values
DFT total energy	-24.05	eV per cell
energy relative to the elements	-172	meV/atom
crystal system	tetragonal
total moment	0.00	μB per cell


Material: Pm4HgPb2
Method: DFT, PBE-GGA
State: optimized geometry

abc: 7.8563 7.8563 7.8563
angles: 135.80 135.80 64.29
Element x y z (fractional)
Pm 0.0000 0.5000 0.5000
Pm 0.2500 0.7500 0.5000
Pm 0.5000 0.0000 0.5000
Pm 0.7500 0.2500 0.5000
Hg 0.0000 0.0000 0.0000
Pb 0.3679 0.3679 0.0000
Pb 0.6321 0.6321 0.0000

Calculated values
DFT total energy	-28.05	eV per cell
energy relative to the elements	-190	meV/atom
crystal system	tetragonal
total moment	0.00	μB per cell


Material: PmHg2Pb
Method: DFT, PBE-GGA
State: optimized geometry

abc: 6.6455 6.6455 6.6455
angles: 42.55 42.55 42.55
Element x y z (fractional)
Pm 0.0000 0.0000 0.0000
Hg 0.4212 0.4212 0.4212
Hg 0.5934 0.5934 0.5934
Pb 0.1872 0.1872 0.1872

Calculated values
DFT total energy	-9.93	eV per cell
energy relative to the elements	-218	meV/atom
crystal system	trigonal
total moment	0.00	μB per cell


Material: PmHgPb
Method: DFT, PBE-GGA
State: optimized geometry

abc: 4.9559 4.9559 4.0157
angles: 90.00 90.00 120.00
Element x y z (fractional)
Pm 0.0000 0.0000 0.0000
Hg 0.3333 0.6667 0.6712
Pb 0.6667 0.3333 0.4095

Calculated values
DFT total energy	-9.98	eV per cell
energy relative to the elements	-405	meV/atom
crystal system	trigonal
total moment	0.00	μB per cell


Material: Pm8Hg2Pb
Method: DFT, PBE-GGA
State: optimized geometry

abc: 8.8346 8.8346 8.7652
angles: 118.78 118.78 35.71
Element x y z (fractional)
Pm 0.0679 0.0679 0.2206
Pm 0.1437 0.1437 0.6970
Pm 0.3176 0.3176 0.5432
Pm 0.4052 0.4052 0.0457
Pm 0.5948 0.5948 0.9543
Pm 0.6824 0.6824 0.4568
Pm 0.8563 0.8563 0.3030
Pm 0.9321 0.9321 0.7794
Hg 0.2182 0.2182 0.1120
Hg 0.7818 0.7818 0.8880
Pb 0.5000 0.5000 0.5000

Calculated values
DFT total energy	-45.27	eV per cell
energy relative to the elements	-268	meV/atom
crystal system	monoclinic
total moment	0.00	μB per cell


Material: Pm3Hg3Pb4
Method: DFT, PBE-GGA
State: optimized geometry

abc: 9.0677 9.0677 9.0677
angles: 109.47 109.47 109.47
Element x y z (fractional)
Pm 0.1250 0.8750 0.2500
Pm 0.2500 0.1250 0.8750
Pm 0.3750 0.6250 0.7500
Pm 0.6250 0.7500 0.3750
Pm 0.7500 0.3750 0.6250
Pm 0.8750 0.2500 0.1250
Hg 0.1250 0.7500 0.8750
Hg 0.2500 0.6250 0.3750
Hg 0.3750 0.2500 0.6250
Hg 0.6250 0.3750 0.2500
Hg 0.7500 0.8750 0.1250
Hg 0.8750 0.1250 0.7500
Pb 0.0000 0.1991 0.5000
Pb 0.0000 0.6991 0.5000
Pb 0.1991 0.5000 0.0000
Pb 0.3009 0.3009 0.3009
Pb 0.5000 0.0000 0.1991
Pb 0.5000 0.0000 0.6991
Pb 0.6991 0.5000 0.0000
Pb 0.8009 0.8009 0.8009

Calculated values
DFT total energy	-66.86	eV per cell
energy relative to the elements	-344	meV/atom
crystal system	cubic
total moment	0.00	μB per cell